Record 1
{
  "formula": "HoPuAl6",
  "functional": "PBE",
  "state": "relaxed",
  "final_energy_ev_per_atom": -5.534,
  "magnetic_moment_mub_per_fu": 5.5,
  "lattice": [[-0.3498, -4.6748, -0.1798], [4.1781, -0.1391, -4.5103], [1.8012, -0.3606, 5.8689]],
  "species": ["Al", "Pu", "Al", "Al", "Al", "Al", "Ho", "Al"],
  "frac_coords": [[0.0000, 0.5959, 0.4041], [0.5000, 0.4165, 0.5835], [0.0000, 0.5961, 0.9421], [0.0000, 0.0579, 0.4039], [0.5000, 0.9021, 0.5545], [0.5000, 0.9023, 0.0977], [0.0000, 0.0834, 0.9166], [0.5000, 0.4455, 0.0979]]
}

---

Record 2
{
  "formula": "PuSn2Pd5",
  "functional": "PBE",
  "state": "relaxed",
  "final_energy_ev_per_atom": -6.487,
  "magnetic_moment_mub_per_fu": 5.7,
  "lattice": [[3.9034, 0.0000, 0.0000], [1.9517, 6.5772, 0.6988], [1.9517, 1.8953, 6.3368]],
  "species": ["Sn", "Pd", "Pd", "Sn", "Pu", "Pd", "Pd", "Pd"],
  "frac_coords": [[0.7552, 0.7448, 0.7448], [0.3715, 0.8281, 0.4289], [0.0000, 0.5000, 0.5000], [0.2448, 0.2552, 0.2552], [0.0000, 0.0000, 0.0000], [0.6285, 0.1719, 0.5711], [0.6285, 0.5711, 0.1719], [0.3715, 0.4289, 0.8281]]
}

---

Record 3
{
  "formula": "Tb2Ce3Tl6",
  "functional": "PBE",
  "state": "relaxed",
  "final_energy_ev_per_atom": -3.633,
  "magnetic_moment_mub_per_fu": 2.7,
  "lattice": [[5.9678, 0.0000, 0.0000], [0.0000, 5.9678, 0.0000], [-2.9839, -2.9839, 11.1141]],
  "species": ["Tb", "Tl", "Ce", "Ce", "Tl", "Tl", "Tl", "Tl", "Tb", "Ce", "Tl"],
  "frac_coords": [[0.5757, 0.5757, 0.1515], [0.0720, 0.5720, 0.1440], [0.8603, 0.8603, 0.7206], [0.0000, 0.0000, 0.0000], [0.5720, 0.0720, 0.1440], [0.4280, 0.9280, 0.8560], [0.7152, 0.7152, 0.4303], [0.9280, 0.4280, 0.8560], [0.4243, 0.4243, 0.8485], [0.1397, 0.1397, 0.2794], [0.2848, 0.2848, 0.5697]]
}

---

Record 4
{
  "formula": "LiIn8Pb2",
  "functional": "PBE",
  "state": "relaxed",
  "final_energy_ev_per_atom": -2.842,
  "magnetic_moment_mub_per_fu": 0.0,
  "lattice": [[5.0170, 0.0000, 0.0000], [0.0000, 5.0170, 0.0000], [0.0000, 0.0000, 12.0550]],
  "species": ["In", "Pb", "In", "In", "Pb", "In", "In", "In", "In", "In", "Li"],
  "frac_coords": [[0.0000, 0.5000, 0.1294], [0.0000, 0.0000, 0.6883], [0.5000, 0.0000, 0.8706], [0.0000, 0.5000, 0.8706], [0.0000, 0.0000, 0.3117], [0.0000, 0.5000, 0.5000], [0.5000, 0.5000, 0.3135], [0.5000, 0.0000, 0.1294], [0.5000, 0.5000, 0.6865], [0.5000, 0.0000, 0.5000], [0.0000, 0.0000, 0.0000]]
}